First-principles (meta-GGA SCAN) data for Cu3TcSb at its PBEsol-relaxed geometry, as listed in Alexandria.

a b c (Å): 4.6341 4.6341 4.6341
angles (deg): 90.00 90.00 90.00
With the nearest neighbours (Å) after each atom.
Positions (direct):
Tc: 0.5000 0.5000 0.5000  12 Cu 3.28
Cu: 0.5000 0.0000 0.0000  2 Sb 2.32
Cu: 0.0000 0.5000 0.0000  2 Sb 2.32
Cu: 0.0000 0.0000 0.5000  2 Sb 2.32
Sb: 0.0000 0.0000 0.0000  6 Cu 2.32

Properties
* density: 6.8 g/cm3
* VASP energy: -22.2680 eV/atom
* raw formation energy: 6.6 eV/f.u.
* size of the total moment: 3.95 Bohr magnetons per cell
* DOS(E_F): 0.387 states/eV per atom
* symmetry: Pm-3m, No. 221